A geometry-optimized La2TcSnN structure. Source: Alexandria, functional PBE.

N(E_F): 0.434 states/eV/atom
E_form (uncorrected): -0.69 eV/atom
DFT total energy: -7.199 eV per atom
Volume: 22.6 Å³/atom

```
La2TcSnN
1.0
5.319 0.000 0.000
0.000 5.319 0.000
0.000 0.000 3.990
La Tc Sn N
2 1 1 1
Direct
0.000 0.500 0.000 La
0.500 0.000 0.000 La
0.000 0.000 0.500 Tc
0.500 0.500 0.500 Sn
0.000 0.000 0.000 N
```

A geometry-optimized CrTc structure. Source: Alexandria, functional PBE.

N(E_F): 1.470 states/eV/atom
DFT total energy: -9.777 eV per atom
Volume: 13.3 Å³/atom
Calculated formation energy: 0.217 eV per atom

```
CrTc
1.0
2.696 0.000 0.000
0.000 3.752 0.000
0.000 0.000 5.277
Cr Tc
2 2
Direct
0.250 0.250 0.120 Cr
0.750 0.750 0.880 Cr
0.250 0.250 0.638 Tc
0.750 0.750 0.362 Tc
```

A geometry-optimized KCa2Co structure. Source: Alexandria, functional PBE.

N(E_F): 1.186 states/eV/atom
Polymorph energy (0 for the lowest one): 0.3869 eV/atom
DFT total energy: -2.374 eV per atom
Volume: 32.1 Å³/atom
Calculated formation energy: 0.678 eV per atom

```
KCa2Co
1.0
4.686 0.000 0.000
0.000 5.230 0.000
0.000 0.000 5.240
K Ca Co
1 2 1
Direct
0.000 0.000 0.000 K
0.500 0.000 0.500 Ca
0.500 0.500 0.000 Ca
0.000 0.500 0.500 Co
```

A geometry-optimized Ta4SnF2 structure. Source: Alexandria, functional PBE.

N(E_F): 1.128 states/eV/atom
E_form (uncorrected): 0.95 eV/atom
DFT total energy: -6.928 eV per atom
Volume: 20.6 Å³/atom

```
Ta4SnF2
1.0
5.020 0.000 0.000
0.000 5.020 0.000
0.000 0.000 11.455
Ta Sn F
8 2 4
Direct
0.000 0.000 0.236 Ta
0.000 0.000 0.764 Ta
0.000 0.500 0.000 Ta
0.000 0.500 0.500 Ta
0.500 0.000 0.000 Ta
0.500 0.000 0.500 Ta
0.500 0.500 0.264 Ta
0.500 0.500 0.736 Ta
0.000 0.000 0.000 Sn
0.500 0.500 0.500 Sn
0.000 0.000 0.408 F
0.000 0.000 0.592 F
0.500 0.500 0.092 F
0.500 0.500 0.908 F
```

A geometry-optimized Tb3NdCo structure. Source: Alexandria, functional PBE.

N(E_F): 1.031 states/eV/atom
Polymorph energy (0 for the lowest one): 0.0000 eV/atom
DFT total energy: -5.242 eV per atom
Volume: 28.9 Å³/atom
Calculated formation energy: -0.089 eV per atom

```
Tb3NdCo
1.0
5.872 -4.144 0.000
5.872 4.144 0.000
-5.716 0.000 5.941
Tb Nd Co
6 2 2
Direct
0.045 0.453 0.794 Tb
0.046 0.046 0.252 Tb
0.453 0.045 0.794 Tb
0.547 0.955 0.206 Tb
0.954 0.954 0.748 Tb
0.955 0.547 0.206 Tb
0.452 0.452 0.664 Nd
0.548 0.548 0.336 Nd
0.247 0.247 0.111 Co
0.753 0.753 0.889 Co
```

A geometry-optimized K2As2P structure. Source: Alexandria, functional PBE.

N(E_F): 0.485 states/eV/atom
Polymorph energy (0 for the lowest one): 0.0888 eV/atom
DFT total energy: -3.529 eV per atom
Volume: 26.0 Å³/atom
Calculated formation energy: -0.148 eV per atom

```
K2As2P
1.0
6.992 0.000 0.000
0.000 6.992 0.000
0.000 0.000 5.309
K As P
4 4 2
Direct
0.181 0.319 0.000 K
0.319 0.819 0.000 K
0.681 0.181 0.000 K
0.819 0.681 0.000 K
0.127 0.627 0.500 As
0.373 0.127 0.500 As
0.627 0.873 0.500 As
0.873 0.373 0.500 As
0.000 0.000 0.500 P
0.500 0.500 0.500 P
```

A geometry-optimized KLiZn2Pt structure. Source: Alexandria, functional PBE.

N(E_F): 0.349 states/eV/atom
DFT total energy: -2.598 eV per atom
Volume: 24.2 Å³/atom
Calculated formation energy: -0.278 eV per atom

```
KLiZn2Pt
1.0
4.962 0.000 0.000
0.000 4.962 0.000
0.000 0.000 4.911
K Li Zn Pt
1 1 2 1
Direct
0.000 0.000 0.000 K
0.500 0.500 0.000 Li
0.000 0.500 0.500 Zn
0.500 0.000 0.500 Zn
0.500 0.500 0.500 Pt
```

A geometry-optimized CoCuGe structure. Source: Alexandria, functional PBE.

N(E_F): 0.163 states/eV/atom
DFT total energy: -5.287 eV per atom
Volume: 12.7 Å³/atom
Calculated formation energy: -0.014 eV per atom

```
CoCuGe
1.0
3.482 0.000 0.000
0.000 3.482 0.000
0.000 0.000 6.263
Co Cu Ge
2 2 2
Direct
0.250 0.250 0.156 Co
0.750 0.750 0.844 Co
0.250 0.750 0.500 Cu
0.750 0.250 0.500 Cu
0.250 0.250 0.789 Ge
0.750 0.750 0.211 Ge
```